# ZrMnNi2 (PBE-GGA, relaxed)
# ΔH_f (0 K) = -0.105 eV per atom
# raw total energy = -29.70 eV for the cell shown
# magnetic moment = 2.9 Bohr magnetons per cell
data_ZrMnNi2
_chemical_formula_sum 'Zr1 Mn1 Ni2'
_cell_length_a 3.1895
_cell_length_b 3.1895
_cell_length_c 5.6083
_cell_angle_alpha 90.00
_cell_angle_beta 90.00
_cell_angle_gamma 90.00
_space_group_name_H-M_alt 'P 4 m m'
_space_group_IT_number 99
_space_group_name_Hall 'P 4 -2'
loop_
_atom_site_label
_atom_site_type_symbol
_atom_site_fract_x
_atom_site_fract_y
_atom_site_fract_z
_atom_site_occupancy
Zr1 Zr 0.0000 0.0000 0.0000 1
Mn1 Mn 0.5000 0.5000 0.3047 1
Ni1 Ni 0.0000 0.0000 0.5089 1
Ni2 Ni 0.5000 0.5000 0.7433 1